Entry 1:
Material: KSiH6Au
Method: DFT, PBE
State: optimized geometry

a b c (Å): 5.1414 5.2386 5.5902
angles (deg): 103.95 108.35 91.74
Last column: nearest neighbours and their distance in Å.
Positions (direct):
K 0.0000 0.0000 0.0000  6 H 2.72-3.03
Si 0.4844 0.5076 0.9846  4 H 1.50
H 0.3134 0.5554 0.1607  1 Si 1.50
H 0.4189 0.2265 0.8218  1 Si 1.50
H 0.4223 0.6866 0.8067  1 Si 1.50
H 0.5568 0.0165 0.2241  1 Au 1.65
H 0.7826 0.5610 0.1499  1 Si 1.50
H 0.9334 0.4751 0.7520  1 Au 1.65
Au 0.7407 0.2500 0.4867  2 H 1.65

Calculated values
The calculation puts the calculated total energy at -0.250 Ry per atom. The density of states at the Fermi level is 0.000 states/eV/atom.

***

Entry 2:
Material: K2SiH4Au2
Method: DFT, PBE
State: optimized geometry

a b c (Å): 5.9721 5.9721 5.9721
angles (deg): 114.80 114.80 99.28
Last column: nearest neighbours and their distance in Å.
Positions (direct):
K 0.2500 0.7500 0.5000  8 H 3.06, 4 Au 3.27
K 0.7500 0.2500 0.5000  8 H 3.06, 4 Au 3.27
Si 0.0000 0.0000 0.0000  4 H 1.59
H 0.1751 0.1751 0.3503  1 Si 1.59
H 0.1751 0.8249 0.0000  1 Si 1.59
H 0.8249 0.1751 0.0000  1 Si 1.59
H 0.8249 0.8249 0.6497  1 Si 1.59
Au 0.3268 0.3268 0.0000  1 Si 2.53, 1 Au 2.68
Au 0.6732 0.6732 0.0000  1 Si 2.53, 1 Au 2.68

Calculated values
The calculation puts the calculated total energy at -0.231 Ry per atom. The density of states at the Fermi level is 0.015 states/eV/atom.

***

Entry 3:
Material: KSnHAu2
Method: DFT, PBE
State: optimized geometry

a b c (Å): 5.4712 5.4712 4.0211
angles (deg): 90.00 90.00 90.00
Last column: nearest neighbours and their distance in Å.
Positions (direct):
K 0.0000 0.0000 0.0000  8 Au 3.39
Sn 0.5000 0.5000 0.5000  2 H 2.01
H 0.5000 0.5000 0.0000  2 Sn 2.01
Au 0.0000 0.5000 0.5000  2 Sn 2.74
Au 0.5000 0.0000 0.5000  2 Sn 2.74

Calculated values
The calculation puts the calculated total energy at -0.226 Ry per atom. The density of states at the Fermi level is 0.242 states/eV/atom.